VASP calculation (PBE) on a relaxed CaLaSmDy crystal.

Cell: 5.8692 5.8692 5.8692 Å, 60.00 60.00 60.00°
Fractional positions:
Ca 0.2500 0.2500 0.2500
Sm 0.0000 0.0000 0.0000
La 0.5000 0.5000 0.5000
Dy 0.7500 0.7500 0.7500

Results
ρ: 5.71 Mg/m³
Electronic total energy: -3.9414 eV per atom
Energy relative to the elements: 11.7 kJ/mol of atoms